Record 1
Ac2BeGe3 (PBE-GGA, optimized geometry); E = -4.877 eV per atom; magnetization = 0.00 μB/atom; formation energy = -334 kJ/mol of formula units; SG = Pmm2, No. 25; offset from the most stable computed form = 0.108 eV/f.u.
1.0
4.202 0.000 0.000
0.000 4.714 0.000
0.000 0.000 7.283
Ac Be Ge
2 1 3
Direct
0.000 0.000 0.000
0.500 0.000 0.496
0.000 0.500 0.675
0.000 0.500 0.358
0.500 0.500 0.160
0.500 0.500 0.807


Record 2
Ac2BeGe (PBE-GGA, optimized geometry); E = -4.244 eV per atom; magnetization = 0.00 μB/atom; formation energy = -40 kJ/mol of formula units; SG = P4/mmm, No. 123; offset from the most stable computed form = 0.000 eV/f.u.
1.0
5.338 0.000 0.000
0.000 5.338 0.000
0.000 0.000 3.975
Ac Be Ge
2 1 1
Direct
0.000 0.500 0.000
0.500 0.000 0.000
0.000 0.000 0.500
0.500 0.500 0.500


Record 3
AcBeGe2 (PBE-GGA, optimized geometry); E = -4.685 eV per atom; magnetization = 0.00 μB/atom; formation energy = -161 kJ/mol of formula units; SG = Cmmm, No. 65; offset from the most stable computed form = 0.000 eV/f.u.
1.0
2.217 -8.386 0.000
2.217 8.386 0.000
0.000 0.000 4.545
Ac Be Ge
2 2 4
Direct
0.143 0.857 0.000
0.857 0.143 0.000
0.430 0.570 0.500
0.570 0.430 0.500
0.000 0.000 0.500
0.291 0.709 0.500
0.500 0.500 0.000
0.709 0.291 0.500


Record 4
AcBeGe2 (PBE-GGA, optimized geometry); E = -4.229 eV per atom; magnetization = 0.00 μB/atom; formation energy = 15 kJ/mol of formula units; SG = P4/mmm, No. 123; offset from the most stable computed form = 1.822 eV/f.u.
1.0
3.525 0.000 0.000
0.000 3.525 0.000
0.000 0.000 6.803
Ac Be Ge
1 1 2
Direct
0.000 0.000 0.000
0.000 0.000 0.500
0.500 0.500 0.321
0.500 0.500 0.679


> Look up the magnetization of the third one.

0.00 μB/atom


> What is the formula in the first record?

Ac2BeGe3